No. 1
Crystalline TbEr5In2Pb at its relaxed geometry. Source: Alexandria via LeMat-Bulk, functional PBE.

Cell lengths 8.5228, 8.5228, 14.1661 Å; angles 90.00, 90.00, 90.00 degrees
Closest atoms and distances in Å follow each position.
Space group I4/mcm (No. 140)
Asymmetric unit:
1 Tb 0.0000 0.5000 0.2500 (multiplicity 4)  4 Er 3.01
2 Er 0.0000 0.0000 0.0000 (multiplicity 4)  4 In 3.45, 2 Pb 3.54, 8 Er 3.59
3 Er 0.2086 0.2914 0.1328 (multiplicity 16)  1 In 2.88, 1 Tb 3.01
4 In 0.1109 0.3891 0.5000 (multiplicity 8)  1 In 2.67, 2 Er 2.88
5 Pb 0.0000 0.0000 0.2500 (multiplicity 4)  10 Er 3.48-3.54

Properties
V	28.58	Å³/atom
formation energy from the elements	-0.0613	eV/atom

---

No. 2
Crystalline Tb7Ho5Tm at its relaxed geometry. Source: Alexandria via LeMat-Bulk, functional PBE.

Cell lengths 13.0331, 12.6550, 5.4941 Å; angles 90.00, 114.86, 90.00 degrees
Closest atoms and distances in Å follow each position.
Space group Cm (No. 8)
Asymmetric unit:
1 Tb 0.0000 0.0000 0.0000 (multiplicity 2)  1 Tm 3.04, 2 Ho 3.20, 2 Tb 3.21
2 Tb 0.1351 0.1210 0.6342 (multiplicity 4)  1 Tb 3.06, 2 Ho 3.32-3.37
3 Tb 0.1600 0.2890 0.1584 (multiplicity 4)  5 Tb 3.48-3.85, 6 Ho 3.60-3.74, 1 Tm 3.83
4 Tb 0.1869 0.5000 0.6866 (multiplicity 2)  4 Ho 3.34-3.46, 3 Tb 3.42-3.70
5 Tb 0.3596 0.5000 0.3597 (multiplicity 2)  6 Tb 3.21-3.56
6 Ho 0.3626 0.2818 0.8607 (multiplicity 4)  3 Tb 3.20-3.46, 2 Ho 3.35
7 Ho 0.4382 0.0000 0.9361 (multiplicity 2)  2 Tm 3.48, 6 Ho 3.49-3.68, 4 Tb 3.74-3.90
8 Ho 0.4684 0.1678 0.4663 (multiplicity 4)  1 Tm 3.28, 4 Tb 3.32-3.61, 4 Ho 3.35-3.49
9 Tm 0.2572 0.0000 0.2559 (multiplicity 2)  1 Tb 3.04, 2 Ho 3.28

Properties
V	31.62	Å³/atom
formation energy from the elements	0.1308	eV/atom

---

No. 3
Crystalline Cs2ScP2 at its relaxed geometry. Source: Alexandria via LeMat-Bulk, functional PBE.

Cell lengths 6.9931, 6.9931, 6.1467 Å; angles 90.00, 90.00, 90.00 degrees
Closest atoms and distances in Å follow each position.
Space group P4/mbm (No. 127)
Asymmetric unit:
1 Cs 0.1781 0.3219 0.0000 (multiplicity 4)  5 Cs 3.52-3.64, 6 P 3.69-3.72
2 Sc 0.0000 0.0000 0.5000 (multiplicity 2)  4 P 2.81
3 P 0.1151 0.6151 0.5000 (multiplicity 4)  1 P 2.28

Properties
V	30.06	Å³/atom
formation energy from the elements	-0.2823	eV/atom